The following is a DFT calculation (meta-GGA SCAN) of a crystal of TaMoRu2 relaxed with PBEsol.

abc: 4.389 4.389 4.389
angles: 60.00 60.00 60.00
Each line ends with the local moment (μB).
Element x y z (fractional)
Mo  0.500  0.500  0.500  -0.11
Ru  0.000  0.000  0.000  0.73
Ru  0.250  0.250  0.250  0.91
Ta  0.750  0.750  0.750  -0.05

Summary:
Polymorph energy (0 for the lowest one)   138 meV per atom
Space-group type   F-43m
Crystal system   cubic